(1)
Material: Li2Ho2ScIn2
Method: DFT, PBE
State: optimized geometry

abc: 4.761 4.761 9.054
angles: 74.76 74.76 60.00
Fractional positions:
Sc 0.000 0.000 0.000
In 0.734 0.734 0.797
In 0.266 0.266 0.203
Li 0.614 0.614 0.157
Li 0.386 0.386 0.843
Ho 0.126 0.126 0.623
Ho 0.874 0.874 0.377

Results
The calculation puts the magnetic moment at 0.00 μB/f.u. For the density of states at the Fermi level, the calculation gives 5.33 states/eV per cell. The formation energy comes out at -0.20 eV per atom.

(2)
Material: Li3Ho3InSe8
Method: DFT, PBE
State: optimized geometry

abc: 8.074 8.074 7.940
angles: 120.59 90.00 120.00
Fractional positions:
Ho 0.500 0.500 0.500
Ho 0.000 0.500 0.500
Ho 0.500 0.000 0.500
Se 0.752 0.995 0.247
Se 0.751 0.503 0.754
Se 0.752 0.504 0.247
Se 0.249 0.497 0.246
Se 0.248 0.496 0.753
Se 0.248 0.005 0.753
Se 0.757 0.005 0.753
Se 0.243 0.995 0.247
Li 0.500 0.500 0.000
Li 0.000 0.000 0.000
Li 0.000 0.500 0.000
In 0.000 0.000 0.500

Results
The calculation puts the magnetic moment at 0.00 μB/f.u. For the density of states at the Fermi level, the calculation gives 8.40 states/eV per cell. The total DFT energy (no corrections) is -4.715 eV per atom.

(3)
Material: Li4Ho3InSe8
Method: DFT, PBE
State: optimized geometry

abc: 8.053 8.005 8.053
angles: 120.21 120.00 90.00
Fractional positions:
Ho 0.500 0.500 0.500
Ho 0.000 0.500 0.500
Ho 0.500 0.500 0.000
Se 0.752 0.248 0.996
Se 0.249 0.249 0.499
Se 0.756 0.752 0.004
Se 0.248 0.753 0.497
Se 0.752 0.247 0.503
Se 0.248 0.752 0.004
Se 0.244 0.248 0.996
Se 0.751 0.751 0.501
In 0.000 0.500 0.000
Li 0.000 0.000 0.000
Li 0.500 0.000 0.000
Li 0.000 0.000 0.500
Li 0.500 0.000 0.500

Results
The calculation puts the magnetic moment at 0.00 μB/f.u. For the density of states at the Fermi level, the calculation gives 0.05 states/eV per cell. The total DFT energy (no corrections) is -4.707 eV per atom.

(4)
Material: Li2Sm2HoIn2
Method: DFT, PBE
State: optimized geometry

abc: 4.868 4.868 9.337
angles: 74.89 74.89 60.00
Fractional positions:
Li 0.391 0.391 0.827
Li 0.609 0.609 0.173
Sm 0.873 0.873 0.381
Sm 0.127 0.127 0.619
In 0.265 0.265 0.205
In 0.735 0.735 0.795
Ho 0.000 0.000 0.000

Results
The calculation puts the magnetic moment at 0.00 μB/f.u. For the density of states at the Fermi level, the calculation gives 5.88 states/eV per cell. The formation energy comes out at -0.23 eV per atom.

(5)
Material: LiSmHo2In4
Method: DFT, PBE
State: optimized geometry

abc: 5.215 5.215 9.240
angles: 73.61 73.61 60.00
Fractional positions:
Sm 0.000 0.000 0.000
In 0.378 0.378 0.865
In 0.873 0.873 0.382
In 0.622 0.622 0.135
In 0.127 0.127 0.618
Li 0.500 0.500 0.500
Ho 0.754 0.754 0.739
Ho 0.246 0.246 0.261

Results
The calculation puts the magnetic moment at 0.00 μB/f.u. For the density of states at the Fermi level, the calculation gives 3.98 states/eV per cell. The formation energy comes out at -0.42 eV per atom.

(6)
Material: LiSm2HoIn4
Method: DFT, PBE
State: optimized geometry

abc: 5.249 5.249 9.287
angles: 73.58 73.58 60.00
Fractional positions:
Li 0.500 0.500 0.500
Ho 0.000 0.000 0.000
Sm 0.755 0.755 0.735
Sm 0.245 0.245 0.265
In 0.376 0.376 0.873
In 0.624 0.624 0.127
In 0.125 0.125 0.624
In 0.875 0.875 0.376

Results
The calculation puts the magnetic moment at 0.00 μB/f.u. For the density of states at the Fermi level, the calculation gives 4.17 states/eV per cell. The formation energy comes out at -0.43 eV per atom.

(7)
Material: Li2SmHo2In2
Method: DFT, PBE
State: optimized geometry

abc: 4.881 4.881 9.233
angles: 74.67 74.67 60.00
Fractional positions:
In 0.740 0.740 0.780
In 0.260 0.260 0.220
Li 0.401 0.401 0.798
Li 0.599 0.599 0.202
Ho 0.128 0.128 0.615
Ho 0.872 0.872 0.385
Sm 0.000 0.000 0.000

Results
The calculation puts the magnetic moment at 0.00 μB/f.u. For the density of states at the Fermi level, the calculation gives 5.58 states/eV per cell. The formation energy comes out at -0.23 eV per atom.

(8)
Material: Sr2Li2HoIn5
Method: DFT, PBE
State: optimized geometry

abc: 4.618 10.631 10.631
angles: 90.00 90.00 90.00
Fractional positions:
Sr 0.000 0.319 0.819
Sr 0.000 0.181 0.319
Sr 0.000 0.819 0.681
Sr 0.000 0.681 0.181
Li 0.000 0.386 0.114
Li 0.000 0.886 0.386
Li 0.000 0.114 0.614
Li 0.000 0.614 0.886
In 0.500 0.709 0.440
In 0.500 0.440 0.291
In 0.500 0.791 0.940
In 0.500 0.060 0.791
In 0.500 0.000 0.500
In 0.500 0.209 0.060
In 0.500 0.560 0.709
In 0.500 0.291 0.560
In 0.500 0.940 0.209
In 0.500 0.500 0.000
Ho 0.000 0.000 0.000
Ho 0.000 0.500 0.500

Results
The calculation puts the magnetic moment at 0.00 μB/f.u. For the density of states at the Fermi level, the calculation gives 8.39 states/eV per cell. The formation energy comes out at -0.38 eV per atom.

(9)
Material: SrLiHoIn
Method: DFT, PBE
State: optimized geometry

abc: 5.501 5.501 5.501
angles: 60.00 60.00 60.00
Fractional positions:
In 0.500 0.500 0.500
Sr 0.250 0.250 0.250
Li 0.000 0.000 0.000
Ho 0.750 0.750 0.750

Results
The calculation puts the magnetic moment at 0.00 μB/f.u. For the density of states at the Fermi level, the calculation gives 3.28 states/eV per cell. The formation energy comes out at -0.18 eV per atom.

(10)
Material: SrLi2Ho2In2
Method: DFT, PBE
State: optimized geometry

abc: 4.975 4.975 9.814
angles: 75.32 75.32 60.00
Fractional positions:
Li 0.586 0.586 0.242
Li 0.414 0.414 0.758
In 0.751 0.751 0.747
In 0.249 0.249 0.253
Ho 0.132 0.132 0.604
Ho 0.868 0.868 0.396
Sr 0.000 0.000 0.000

Results
The calculation puts the magnetic moment at 0.00 μB/f.u. For the density of states at the Fermi level, the calculation gives 6.84 states/eV per cell. The formation energy comes out at -0.22 eV per atom.

(11)
Material: Li2Tb2HoIn5
Method: DFT, PBE
State: optimized geometry

abc: 4.416 10.312 10.312
angles: 90.00 90.00 90.00
Fractional positions:
In 0.500 0.573 0.712
In 0.500 0.288 0.573
In 0.500 0.712 0.427
In 0.500 0.000 0.500
In 0.500 0.073 0.788
In 0.500 0.500 0.000
In 0.500 0.427 0.288
In 0.500 0.212 0.073
In 0.500 0.927 0.212
In 0.500 0.788 0.927
Tb 0.000 0.675 0.175
Tb 0.000 0.325 0.825
Tb 0.000 0.175 0.325
Tb 0.000 0.825 0.675
Li 0.000 0.381 0.119
Li 0.000 0.881 0.381
Li 0.000 0.619 0.881
Li 0.000 0.119 0.619
Ho 0.000 0.000 0.000
Ho 0.000 0.500 0.500

Results
The calculation puts the magnetic moment at 0.00 μB/f.u. For the density of states at the Fermi level, the calculation gives 10.88 states/eV per cell. The formation energy comes out at -0.38 eV per atom.

(12)
Material: Li2TbHo2In2
Method: DFT, PBE
State: optimized geometry

abc: 4.851 4.851 9.209
angles: 74.73 74.73 60.00
Fractional positions:
Tb 0.000 0.000 0.000
Li 0.603 0.603 0.192
Li 0.397 0.397 0.808
Ho 0.128 0.128 0.617
Ho 0.872 0.872 0.383
In 0.738 0.738 0.785
In 0.262 0.262 0.215

Results
The calculation puts the magnetic moment at 0.00 μB/f.u. For the density of states at the Fermi level, the calculation gives 5.31 states/eV per cell. The formation energy comes out at -0.22 eV per atom.

(13)
Material: LiTbHo2In4
Method: DFT, PBE
State: optimized geometry

abc: 5.194 5.194 9.176
angles: 73.56 73.56 60.00
Fractional positions:
In 0.873 0.873 0.381
In 0.127 0.127 0.619
In 0.378 0.378 0.867
In 0.622 0.622 0.133
Tb 0.000 0.000 0.000
Li 0.500 0.500 0.500
Ho 0.754 0.754 0.739
Ho 0.246 0.246 0.261

Results
The calculation puts the magnetic moment at 0.00 μB/f.u. For the density of states at the Fermi level, the calculation gives 3.92 states/eV per cell. The formation energy comes out at -0.42 eV per atom.

(14)
Material: LiHo2InTe4
Method: DFT, PBE
State: optimized geometry

abc: 4.416 7.698 15.573
angles: 90.00 90.00 106.67
Fractional positions:
Te 0.270 0.540 0.390
Te 0.558 0.117 0.250
Te 0.270 0.540 0.110
Te 0.730 0.460 0.890
Te 0.000 0.000 0.500
Te 0.442 0.883 0.750
Te 0.730 0.460 0.610
Te 0.000 0.000 0.000
In 0.888 0.775 0.250
In 0.112 0.225 0.750
Li 0.837 0.674 0.750
Li 0.163 0.326 0.250
Ho 0.366 0.732 0.936
Ho 0.366 0.732 0.564
Ho 0.634 0.268 0.064
Ho 0.634 0.268 0.436

Results
The calculation puts the magnetic moment at 0.00 μB/f.u. The total DFT energy (no corrections) is -4.380 eV per atom.

(15)
Material: Li2Ho2ThIn2
Method: DFT, PBE
State: optimized geometry

abc: 4.877 4.877 9.235
angles: 74.69 74.69 60.00
Fractional positions:
Ho 0.871 0.871 0.388
Ho 0.129 0.129 0.612
In 0.739 0.739 0.784
In 0.261 0.261 0.216
Li 0.593 0.593 0.221
Li 0.407 0.407 0.779
Th 0.000 0.000 0.000

Results
The calculation puts the magnetic moment at 0.00 μB/f.u. For the density of states at the Fermi level, the calculation gives 5.31 states/eV per cell. The formation energy comes out at -0.17 eV per atom.

(16)
Material: LiHoTmIn
Method: DFT, PBE
State: optimized geometry

abc: 5.223 5.223 5.223
angles: 60.00 60.00 60.00
Fractional positions:
Li 0.000 0.000 0.000
In 0.500 0.500 0.500
Ho 0.750 0.750 0.750
Tm 0.250 0.250 0.250

Results
The calculation puts the magnetic moment at 0.00 μB/f.u. For the density of states at the Fermi level, the calculation gives 2.91 states/eV per cell. The formation energy comes out at -0.25 eV per atom.

(17)
Material: LiHo2TmIn4
Method: DFT, PBE
State: optimized geometry

abc: 5.175 5.175 9.112
angles: 73.50 73.50 60.00
Fractional positions:
In 0.623 0.623 0.130
In 0.874 0.874 0.379
In 0.126 0.126 0.621
In 0.377 0.377 0.870
Ho 0.753 0.753 0.740
Ho 0.247 0.247 0.260
Tm 0.000 0.000 0.000
Li 0.500 0.500 0.500

Results
The calculation puts the magnetic moment at 0.00 μB/f.u. For the density of states at the Fermi level, the calculation gives 4.04 states/eV per cell. The formation energy comes out at -0.40 eV per atom.

(18)
Material: LiHoTm2In4
Method: DFT, PBE
State: optimized geometry

abc: 5.164 5.164 9.096
angles: 73.51 73.51 60.00
Fractional positions:
In 0.127 0.127 0.619
In 0.378 0.378 0.867
In 0.873 0.873 0.381
In 0.622 0.622 0.133
Tm 0.247 0.247 0.258
Tm 0.753 0.753 0.742
Li 0.500 0.500 0.500
Ho 0.000 0.000 0.000

Results
The calculation puts the magnetic moment at 0.00 μB/f.u. For the density of states at the Fermi level, the calculation gives 4.06 states/eV per cell. The formation energy comes out at -0.40 eV per atom.

(19)
Material: Li2Y2HoIn5
Method: DFT, PBE
State: optimized geometry

abc: 4.395 10.330 10.330
angles: 90.00 90.00 90.00
Fractional positions:
In 0.500 0.788 0.926
In 0.500 0.926 0.212
In 0.500 0.288 0.574
In 0.500 0.500 0.000
In 0.500 0.712 0.426
In 0.500 0.426 0.288
In 0.500 0.000 0.500
In 0.500 0.212 0.074
In 0.500 0.074 0.788
In 0.500 0.574 0.712
Ho 0.000 0.000 0.000
Ho 0.000 0.500 0.500
Y 0.000 0.326 0.826
Y 0.000 0.174 0.326
Y 0.000 0.826 0.674
Y 0.000 0.674 0.174
Li 0.000 0.880 0.380
Li 0.000 0.620 0.880
Li 0.000 0.380 0.120
Li 0.000 0.120 0.620

Results
The calculation puts the magnetic moment at 0.00 μB/f.u. For the density of states at the Fermi level, the calculation gives 9.66 states/eV per cell. The formation energy comes out at -0.39 eV per atom.

(20)
Material: LiY2HoIn4
Method: DFT, PBE
State: optimized geometry

abc: 5.201 5.201 9.174
angles: 73.53 73.53 60.00
Fractional positions:
Y 0.246 0.246 0.262
Y 0.754 0.754 0.738
Ho 0.000 0.000 0.000
In 0.623 0.623 0.130
In 0.874 0.874 0.378
In 0.377 0.377 0.870
In 0.126 0.126 0.622
Li 0.500 0.500 0.500

Results
The calculation puts the magnetic moment at 0.00 μB/f.u. For the density of states at the Fermi level, the calculation gives 3.85 states/eV per cell. The formation energy comes out at -0.43 eV per atom.